Record 1
# Hg2AsOs (PBE, relaxed)
data_Hg2AsOs
_symmetry_space_group_name_H-M 'I -4 2 d'
_symmetry_Int_Tables_number 122
_symmetry_space_group_name_Hall 'I -4 2bw'
_cell_length_a 10.5739
_cell_length_b 10.5739
_cell_length_c 4.6058
_cell_angle_alpha 90.00
_cell_angle_beta 90.00
_cell_angle_gamma 90.00
loop_
_atom_site_label
_atom_site_type_symbol
_atom_site_fract_x
_atom_site_fract_y
_atom_site_fract_z
_atom_site_occupancy
Hg1 Hg 0.0006 0.2500 0.1250 1
As1 As 0.0000 0.0000 0.5000 1
Os1 Os 0.0000 0.0000 0.0000 1
# **DOS at the Fermi energy**: 6.88 states/eV/cell
# **Total moment**: 0.00 μB/f.u.
# **Total energy**: -3.737 eV/atom
# **Formation enthalpy at 0 K**: 384 meV per atom

***

Record 2
# Hg2AsOs (PBE, relaxed)
data_Hg2AsOs
_symmetry_space_group_name_H-M 'C 1 2/m 1'
_symmetry_Int_Tables_number 12
_cell_length_a 14.6900
_cell_length_b 3.0067
_cell_length_c 3.9753
_cell_angle_alpha 90.00
_cell_angle_beta 105.50
_cell_angle_gamma 90.00
loop_
_symmetry_equiv_pos_as_xyz
'x,y,z'
'-x,-y,-z'
'-x,y,-z'
'x,-y,z'
'x+1/2,y+1/2,z'
'-x+1/2,-y+1/2,-z'
'-x+1/2,y+1/2,-z'
'x+1/2,-y+1/2,z'
loop_
_atom_site_label
_atom_site_type_symbol
_atom_site_fract_x
_atom_site_fract_y
_atom_site_fract_z
_atom_site_occupancy
Hg1 Hg 0.1833 0.0000 0.1828 1
As1 As 0.0000 0.0000 0.5000 1
Os1 Os 0.0000 0.5000 0.0000 1
# **DOS at the Fermi energy**: 4.87 states/eV/cell
# **Total moment**: 0.00 μB/f.u.
# **Total energy**: -3.662 eV/atom
# **Formation enthalpy at 0 K**: 458 meV per atom